VASP calculation (PBE) on a geometry-optimized LiTe2C structure.

Calculated values
For the total energy, the calculation gives -14.83 eV/cell. For the spin magnetization, the calculation gives 1.0 μB/f.u. As for the space-group type: No. 166.

a = 7.1459 Å, b = 7.1459 Å, c = 7.1459 Å
α = 37.89°, β = 37.89°, γ = 37.89°
With the nearest neighbours (Å) after each atom.
Element x y z (fractional)
C 0.0000 0.0000 0.0000  2 Te 1.97
Te 0.9010 0.9010 0.9010  1 C 1.97
Te 0.0990 0.0990 0.0990  1 C 1.97
Li 0.5000 0.5000 0.5000  6 Te 3.00